Model 1:
Computed, not measured: a relaxed RbRh3F crystal at the PBE-GGA level of DFT.

Computed properties:
crystal system = cubic
calculated density = 5.18 g cm⁻³

```
5
Lattice="5.097 0.000 0.000 0.000 5.097 0.000 0.000 0.000 5.097" Properties=species:S:1:pos:R:3 pbc="T T T"
Rh 0.000 2.549 0.000
Rh 0.000 0.000 2.549
Rh 2.549 0.000 0.000
Rb 0.000 0.000 0.000
F 2.549 2.549 2.549
```

***

Model 2:
Computed, not measured: a relaxed RbRh3F crystal at the PBE-GGA level of DFT.

Computed properties:
crystal system = cubic
calculated density = 7.02 g cm⁻³

```
5
Lattice="-1.012 3.439 -2.892 -2.469 -2.903 -2.587 -3.754 0.982 2.481" Properties=species:S:1:pos:R:3 pbc="T T T"
Rh -1.235 -1.451 -1.293
Rh -1.877 0.491 1.241
Rh -0.506 1.719 -1.446
Rb -3.618 0.759 -1.499
F 0.000 0.000 0.000
```

***

Verdict on stability: model 2 comes out on top.

***

Model 1:
Computed, not measured: a relaxed RbRuF3 crystal at the PBE-GGA level of DFT.

Computed properties:
crystal system = cubic
calculated density = 3.44 g cm⁻³

```
5
Lattice="4.899 0.000 0.000 0.000 4.899 0.000 0.000 0.000 4.899" Properties=species:S:1:pos:R:3 pbc="T T T"
Ru 2.450 2.450 2.450
Rb 0.000 0.000 0.000
F 0.000 2.450 0.000
F 0.000 0.000 2.450
F 2.450 0.000 0.000
```

***

Model 2:
Computed, not measured: a relaxed RbRuF3 crystal at the PBE-GGA level of DFT.

Computed properties:
crystal system = cubic
calculated density = 5.05 g cm⁻³

```
5
Lattice="4.310 0.000 0.000 0.000 4.310 0.000 0.000 0.000 4.310" Properties=species:S:1:pos:R:3 pbc="T T T"
Ru 0.000 0.000 0.000
Rb 2.155 2.155 2.155
F 0.000 2.155 0.000
F 0.000 0.000 2.155
F 2.155 0.000 0.000
```

***

Verdict on stability: model 2 comes out on top.

***

Model 1:
Computed, not measured: a relaxed Rb2RuF7 crystal at the PBE-GGA level of DFT.

Computed properties:
crystal system = monoclinic
calculated density = 3.79 g cm⁻³

```
20
Lattice="1.351 -2.523 5.849 -5.185 -5.341 2.518 4.810 -6.726 -0.387" Properties=species:S:1:pos:R:3 pbc="T T T"
Rb -0.456 -11.343 5.515
Rb -0.056 -5.707 5.372
Rb 1.031 -8.883 2.608
Rb 1.431 -3.247 2.465
Ru 3.597 -8.782 5.908
Ru -2.622 -5.808 2.072
F 2.303 -10.231 5.583
F 2.620 -4.438 5.076
F -3.853 -5.029 3.347
F 1.894 -6.093 2.003
F 3.188 -8.019 4.138
F 2.121 -7.547 6.126
F 3.266 -7.671 1.006
F -2.291 -6.919 6.974
F -1.146 -7.043 1.854
F -2.213 -6.572 3.842
F -0.919 -8.497 5.977
F 4.828 -9.561 4.632
F -1.644 -10.152 2.904
F -1.328 -4.359 2.397
```

***

Model 2:
Computed, not measured: a relaxed Rb2RuF7 crystal at the PBE-GGA level of DFT.

Computed properties:
crystal system = cubic
calculated density = 3.48 g cm⁻³

```
10
Lattice="-5.315 -3.643 0.745 -0.307 -0.865 -6.421 -0.189 -6.001 -2.459" Properties=species:S:1:pos:R:3 pbc="T T T"
Ru 0.000 0.000 0.000
Rb -4.158 -5.949 -2.276
Rb -1.654 -4.560 -5.859
F -2.811 -2.254 -2.838
F -1.286 -4.434 -2.618
F -4.526 -6.076 -5.518
F -1.177 -0.943 -1.188
F -4.446 -3.565 -4.488
F -4.267 -3.062 -0.755
F -1.355 -1.446 -4.922
```

***

Verdict on stability: model 1 comes out on top.

***

Model 1:
Computed, not measured: a relaxed RbRu2F crystal at the PBE-GGA level of DFT.

Computed properties:
crystal system = cubic
calculated density = 6.74 g cm⁻³

```
4
Lattice="0.000 3.355 3.355 3.355 0.000 3.355 3.355 3.355 0.000" Properties=species:S:1:pos:R:3 pbc="T T T"
Ru 1.677 1.677 1.677
Ru 5.032 5.032 5.032
Rb 3.355 3.355 3.355
F 0.000 0.000 0.000
```

***

Model 2:
Computed, not measured: a relaxed RbRu2F crystal at the PBE-GGA level of DFT.

Computed properties:
crystal system = tetragonal
calculated density = 5.25 g cm⁻³

```
8
Lattice="4.542 0.000 0.000 0.000 4.542 0.000 2.271 2.271 9.411" Properties=species:S:1:pos:R:3 pbc="T T T"
Ru 2.348 1.135 2.353
Ru 2.194 3.406 2.353
Ru 3.406 4.465 7.058
Ru 5.677 4.618 7.058
Rb 0.000 0.000 0.000
Rb 4.542 2.271 4.705
F 2.271 2.271 0.000
F 2.271 4.542 4.705
```

***

Verdict on stability: model 2 comes out on top.

***

Model 1:
Computed, not measured: a relaxed RbRuF6 crystal at the PBE-GGA level of DFT.

Computed properties:
crystal system = trigonal
calculated density = 3.44 g cm⁻³

```
8
Lattice="-2.710 -3.863 3.117 1.390 -0.730 5.433 -3.974 2.069 4.238" Properties=species:S:1:pos:R:3 pbc="T T T"
Rb -2.647 -1.262 6.394
Ru 0.000 0.000 0.000
F -4.338 -2.564 11.149
F -2.907 -0.526 9.504
F -0.223 -0.346 4.507
F -2.387 -1.999 3.285
F -0.957 0.039 1.640
F -5.071 -2.179 8.282
```

***

Model 2:
Computed, not measured: a relaxed RbRuF6 crystal at the PBE-GGA level of DFT.

Computed properties:
crystal system = trigonal
calculated density = 3.56 g cm⁻³

```
8
Lattice="5.246 0.000 0.000 -0.689 5.200 0.000 -0.689 -0.786 5.140" Properties=species:S:1:pos:R:3 pbc="T T T"
Rb 1.934 2.207 2.570
Ru 0.000 0.000 0.000
F 0.533 0.608 4.722
F 4.466 1.129 1.315
F -0.598 3.285 3.826
F 3.335 3.806 0.419
F 3.335 -0.162 3.826
F 0.533 4.576 1.315
```

***

Verdict on stability: model 2 comes out on top.

***

Model 1:
Computed, not measured: a relaxed Rb2TlRuF6 crystal at the PBE-GGA level of DFT.

Computed properties:
crystal system = orthorhombic
calculated density = 4.80 g cm⁻³

```
20
Lattice="6.249 0.000 0.000 0.000 7.074 0.000 0.000 0.000 9.238" Properties=species:S:1:pos:R:3 pbc="T T T"
Rb 3.124 5.651 2.082
Rb 0.000 1.423 6.701
Rb 3.124 5.651 7.156
Rb 0.000 1.423 2.537
Tl 0.000 4.947 4.619
Tl 3.124 2.127 0.000
Ru 3.124 1.448 4.619
Ru 0.000 5.626 0.000
F 3.124 1.421 2.581
F 3.124 1.421 6.657
F 0.000 5.654 2.038
F 0.000 5.654 7.200
F 1.696 7.068 4.619
F 4.552 7.068 4.619
F 1.666 2.852 4.619
F 4.583 2.852 4.619
F 4.790 4.222 0.000
F 1.459 4.222 0.000
F 1.428 0.007 0.000
F 4.821 0.007 0.000
```

***

Model 2:
Computed, not measured: a relaxed Rb2TlRuF6 crystal at the PBE-GGA level of DFT.

Computed properties:
crystal system = cubic
calculated density = 4.87 g cm⁻³

```
10
Lattice="6.577 0.000 0.000 3.289 5.696 0.000 3.289 1.899 5.370" Properties=species:S:1:pos:R:3 pbc="T T T"
Rb 9.866 5.696 4.028
Rb 3.289 1.899 1.343
Tl 6.577 3.797 2.685
Ru 0.000 0.000 0.000
F 6.577 1.657 1.172
F 4.724 2.727 4.199
F 6.577 5.938 4.199
F 4.724 4.867 1.172
F 8.431 2.727 4.199
F 8.431 4.867 1.172
```

***

Verdict on stability: model 1 comes out on top.